No. 1
This record from Alexandria describes a relaxed structure of Sc5H2N. The functional is PBE.

Unit cell a=4.4776 b=5.5275 c=11.0880 alpha=90.00 beta=90.00 gamma=113.89
With the nearest neighbours (Å) after each atom.
Sites, in units of the cell vectors:
Sc (0.6673, 0.3347, 0.2500)  2 H 2.12, 2 N 2.24
Sc (0.7020, 0.4040, 0.5892)  3 H 2.18-2.24, 1 N 2.26
Sc (0.0052, 0.0105, 0.6265)  1 H 2.14, 1 N 2.17
Sc (0.7020, 0.4040, 0.9108)  3 H 2.18-2.24, 1 N 2.26
Sc (0.2980, 0.5960, 0.0892)  3 H 2.18-2.24, 1 N 2.26
Sc (0.2980, 0.5960, 0.4108)  3 H 2.18-2.24, 1 N 2.26
Sc (0.0052, 0.0105, 0.8735)  1 H 2.14, 1 N 2.17
Sc (0.9948, 0.9895, 0.3735)  1 H 2.14, 1 N 2.17
Sc (0.3327, 0.6653, 0.7500)  2 H 2.12, 2 N 2.24
Sc (0.9948, 0.9895, 0.1265)  1 H 2.14, 1 N 2.17
N (0.8393, 0.6786, 0.7500)  6 Sc 2.17-2.26
N (0.1607, 0.3214, 0.2500)  6 Sc 2.17-2.26
H (0.7859, 0.5718, 0.4077)  5 Sc 2.12-2.24
H (0.2141, 0.4282, 0.9077)  5 Sc 2.12-2.24
H (0.7859, 0.5718, 0.0923)  5 Sc 2.12-2.24
H (0.2141, 0.4282, 0.5923)  5 Sc 2.12-2.24

Density of states at the Fermi level in states/eV/f.u.: 6.4
Total magnetic moment in μB per atom: 0.028
Space group: Cmcm, No. 63
Energy in eV for the cell shown: -101.7

=====

No. 2
This record from Alexandria describes a relaxed structure of Os3Pb5. The functional is PBE.

Unit cell a=8.0884 b=8.0884 c=6.2582 alpha=90.00 beta=90.00 gamma=120.00
With the nearest neighbours (Å) after each atom.
Sites, in units of the cell vectors:
Pb (0.0000, 0.7515, 0.7500)  3 Os 2.81-2.85
Pb (0.7515, 0.0000, 0.7500)  3 Os 2.81-2.85
Pb (0.6667, 0.3333, 0.5000)  6 Os 2.92, 2 Pb 3.13
Pb (0.6667, 0.3333, 0.0000)  6 Os 2.92, 2 Pb 3.13
Pb (0.2485, 0.0000, 0.2500)  3 Os 2.81-2.85
Pb (0.2485, 0.2485, 0.7500)  3 Os 2.81-2.85
Pb (0.0000, 0.2485, 0.2500)  3 Os 2.81-2.85
Pb (0.7515, 0.7515, 0.2500)  3 Os 2.81-2.85
Pb (0.3333, 0.6667, 0.5000)  6 Os 2.92, 2 Pb 3.13
Pb (0.3333, 0.6667, 0.0000)  6 Os 2.92, 2 Pb 3.13
Os (0.0000, 0.5960, 0.2500)  7 Pb 2.81-2.92
Os (0.0000, 0.4039, 0.7500)  7 Pb 2.81-2.92
Os (0.4039, 0.4039, 0.2500)  7 Pb 2.81-2.92
Os (0.5960, 0.5960, 0.7500)  7 Pb 2.81-2.92
Os (0.4039, 0.0000, 0.7500)  7 Pb 2.81-2.92
Os (0.5960, 0.0000, 0.2500)  7 Pb 2.81-2.92

Density of states at the Fermi level in states/eV/f.u.: 5.7
Formation enthalpy at 0 K in eV per atom: 0.941
Total magnetic moment in μB per atom: 0.000
Space group: P6_3/mcm, No. 193
Energy in eV for the cell shown: -89.4

=====

No. 3
This record from Alexandria describes a relaxed structure of CaH3Ir. The functional is PBE.

Unit cell a=17.8655 b=4.5779 c=6.2633 alpha=90.00 beta=154.32 gamma=90.00
With the nearest neighbours (Å) after each atom.
Sites, in units of the cell vectors:
Ir (0.4623, 0.7476, 0.5379)  4 H 1.65-1.76
Ir (0.5377, 0.2524, 0.4621)  4 H 1.65-1.76
Ir (0.0377, 0.2476, 0.9621)  4 H 1.65-1.76
Ir (0.9623, 0.7524, 0.0379)  4 H 1.65-1.76
H (0.0858, 0.9863, 0.9138)  1 Ir 1.65
H (0.8821, 0.5023, 0.6435)  2 Ir 1.75-1.76, 1 H 1.94
H (0.3821, 0.9977, 0.1435)  2 Ir 1.75-1.76, 1 H 1.94
H (0.0912, 0.4807, 0.9046)  1 Ir 1.67
H (0.1179, 0.4977, 0.3565)  2 Ir 1.75-1.76, 1 H 1.94
H (0.5858, 0.5137, 0.4138)  1 Ir 1.65
H (0.6179, 0.0023, 0.8565)  2 Ir 1.75-1.76, 1 H 1.94
H (0.5912, 0.0193, 0.4046)  1 Ir 1.67
H (0.9088, 0.5193, 0.0954)  1 Ir 1.67
H (0.4088, 0.9807, 0.5954)  1 Ir 1.67
H (0.9142, 0.0137, 0.0862)  1 Ir 1.65
H (0.4142, 0.4863, 0.5862)  1 Ir 1.65
Ca (0.6798, 0.2549, 0.3230)  8 H 2.30-2.50
Ca (0.1798, 0.2451, 0.8230)  8 H 2.30-2.50
Ca (0.3202, 0.7451, 0.6770)  8 H 2.30-2.50
Ca (0.8202, 0.7549, 0.1770)  8 H 2.30-2.50

Density of states at the Fermi level in states/eV/f.u.: 1.2
Total magnetic moment in μB per atom: 0.000
Space group: P2_1/c, No. 14
Energy in eV for the cell shown: -91.7

=====

No. 4
This record from Alexandria describes a relaxed structure of ZnMoPt2. The functional is PBE.

Unit cell a=3.9972 b=3.9215 c=3.9215 alpha=90.00 beta=90.00 gamma=90.00
With the nearest neighbours (Å) after each atom.
Sites, in units of the cell vectors:
Pt (0.0000, 0.0000, 0.0000)  4 Pt 2.77, 4 Mo 2.80, 4 Zn 2.80
Pt (0.0000, 0.5000, 0.5000)  4 Pt 2.77, 4 Mo 2.80, 4 Zn 2.80
Mo (0.5000, 0.0000, 0.5000)  4 Zn 2.77, 8 Pt 2.80
Zn (0.5000, 0.5000, 0.0000)  4 Mo 2.77, 8 Pt 2.80

Density of states at the Fermi level in states/eV/f.u.: 3.4
Formation enthalpy at 0 K in eV per atom: -0.082
Total magnetic moment in μB per atom: 0.267
Space group: P4/mmm, No. 123
Energy in eV for the cell shown: -24.5